Compound: Tb2TiCu
Source: the Alexandria database
Functional: GGA-PBE
Structure: optimized geometry

Values from the calculation:
DFT formation energy: 0.48 eV/f.u.
E above lowest polymorph: 97 meV per atom
Total magnetic moment: 0.00 Bohr magnetons per cell
Electronic total energy: -20.78 eV/cell

abc: 5.1719 5.1719 3.3540
angles: 90.00 90.00 90.00
Space group P4/mmm (No. 123)
Unique sites:
1 Tb 0.0000 0.5000 0.0000 x2
2 Ti 0.0000 0.0000 0.5000 x1
3 Cu 0.5000 0.5000 0.5000 x1